(P)
Density functional theory data (PBE-GGA) for a relaxed structure of LiLaGa3.

a b c (Å): 5.751 5.751 5.751
angles (deg): 90.00 90.00 90.00
Sites, in units of the cell vectors:
Li (0.500, 0.500, 0.500)
Ga (0.000, 0.500, 0.000)
Ga (0.000, 0.000, 0.500)
Ga (0.500, 0.000, 0.000)
La (0.000, 0.000, 0.000)

(Q)
Density functional theory data (PBE-GGA) for a relaxed structure of LiLaGa3.

a b c (Å): 4.697 4.697 4.697
angles (deg): 90.00 90.00 90.00
Sites, in units of the cell vectors:
Li (0.000, 0.000, 0.000)
Ga (0.000, 0.500, 0.000)
Ga (0.000, 0.000, 0.500)
Ga (0.500, 0.000, 0.000)
La (0.500, 0.500, 0.500)

If we sort the structures by their calculated energies, the order from most to least stable is (Q), (P).

(P)
Density functional theory data (PBE-GGA) for a relaxed structure of LiLa2Ga2.

a b c (Å): 8.986 8.986 3.382
angles (deg): 90.00 90.00 90.00
Sites, in units of the cell vectors:
Li (0.000, 0.000, 0.000)
Li (0.500, 0.500, 0.000)
Ga (0.113, 0.613, 0.500)
Ga (0.613, 0.887, 0.500)
Ga (0.887, 0.387, 0.500)
Ga (0.387, 0.113, 0.500)
La (0.322, 0.822, 0.000)
La (0.822, 0.678, 0.000)
La (0.678, 0.178, 0.000)
La (0.178, 0.322, 0.000)

(Q)
Density functional theory data (PBE-GGA) for a relaxed structure of LiLa2Ga2.

a b c (Å): 4.799 5.842 10.136
angles (deg): 81.32 76.30 65.75
Sites, in units of the cell vectors:
Li (0.643, 0.079, 0.634)
Li (0.357, 0.921, 0.366)
La (0.686, 0.302, 0.325)
La (0.917, 0.270, 0.896)
La (0.314, 0.698, 0.675)
La (0.083, 0.730, 0.104)
Ga (0.072, 0.289, 0.568)
Ga (0.624, 0.862, 0.890)
Ga (0.928, 0.711, 0.432)
Ga (0.376, 0.138, 0.110)

(R)
Density functional theory data (PBE-GGA) for a relaxed structure of LiLa2Ga2.

a b c (Å): 7.539 7.539 4.639
angles (deg): 90.00 90.00 90.00
Sites, in units of the cell vectors:
Li (0.000, 0.000, 0.000)
Li (0.500, 0.500, 0.000)
Ga (0.353, 0.853, 0.000)
Ga (0.853, 0.647, 0.000)
Ga (0.647, 0.147, 0.000)
Ga (0.147, 0.353, 0.000)
La (0.149, 0.649, 0.500)
La (0.649, 0.851, 0.500)
La (0.851, 0.351, 0.500)
La (0.351, 0.149, 0.500)

If we sort the structures by their calculated energies, the order from most to least stable is (Q), (R), (P).

(P)
Density functional theory data (PBE-GGA) for a relaxed structure of LiLa3Ga2.

a b c (Å): 3.774 3.774 11.739
angles (deg): 90.00 90.00 90.00
Sites, in units of the cell vectors:
Li (0.500, 0.500, 0.500)
La (0.000, 0.000, 0.000)
La (0.000, 0.000, 0.686)
La (0.000, 0.000, 0.314)
Ga (0.500, 0.500, 0.834)
Ga (0.500, 0.500, 0.166)

(Q)
Density functional theory data (PBE-GGA) for a relaxed structure of LiLa3Ga2.

a b c (Å): 5.365 5.365 13.100
angles (deg): 90.00 90.00 120.00
Sites, in units of the cell vectors:
Li (0.333, 0.667, 0.675)
Li (0.667, 0.333, 0.325)
La (0.333, 0.667, 0.419)
La (0.667, 0.333, 0.075)
La (0.000, 0.000, 0.758)
La (0.000, 0.000, 0.242)
La (0.333, 0.667, 0.925)
La (0.667, 0.333, 0.581)
Ga (0.000, 0.000, 0.500)
Ga (0.333, 0.667, 0.180)
Ga (0.667, 0.333, 0.820)
Ga (0.000, 0.000, 0.000)

If we sort the structures by their calculated energies, the order from most to least stable is (Q), (P).

(P)
Density functional theory data (PBE-GGA) for a relaxed structure of LiLaGaPd.

a b c (Å): 4.519 4.527 5.499
angles (deg): 114.31 90.00 119.94
Sites, in units of the cell vectors:
Li (0.826, 0.653, 0.122)
La (0.623, 0.247, 0.511)
Ga (0.092, 0.184, 0.919)
Pd (0.424, 0.849, 0.916)

(Q)
Density functional theory data (PBE-GGA) for a relaxed structure of LiLaGaPd.

a b c (Å): 4.830 4.830 4.830
angles (deg): 60.00 60.00 60.00
Sites, in units of the cell vectors:
Li (0.500, 0.500, 0.500)
Ga (0.250, 0.250, 0.250)
Pd (0.000, 0.000, 0.000)
La (0.750, 0.750, 0.750)

If we sort the structures by their calculated energies, the order from most to least stable is (P), (Q).